DFT (PBE) results for a relaxed structure of Sm5TmMg3.

VASP energy = -3.6514 eV/atom
ΔH_f (0 K) = 0.00 eV/atom
calculated volume = 272.5 Å³/f.u.
total magnetic moment = 0.00 μB per cell

The structure in CIF format:
```
data_Sm5TmMg3
_chemical_formula_sum 'Sm10 Tm2 Mg6'
_cell_length_a 9.4957
_cell_length_b 9.4957
_cell_length_c 6.9781
_cell_angle_alpha 90.00
_cell_angle_beta 90.00
_cell_angle_gamma 120.00
_symmetry_space_group_name_H-M 'P 63/m c m'
_symmetry_Int_Tables_number 193
_symmetry_space_group_name_Hall '-P 6c 2'
loop_
_atom_site_label
_atom_site_type_symbol
_atom_site_fract_x
_atom_site_fract_y
_atom_site_fract_z
Sm1 Sm 0.0000 0.3305 0.2500
Sm2 Sm 0.3333 0.6667 0.0000
Tm1 Tm 0.0000 0.0000 0.0000
Mg1 Mg 0.0000 0.3317 0.7500
```

---

DFT (PBE) results for a relaxed structure of Sm2MgTl3.

VASP energy = -3.2819 eV/atom
ΔH_f (0 K) = -0.26 eV/atom
calculated volume = 162.8 Å³/f.u.
total magnetic moment = 0.00 μB per cell

The structure in CIF format:
```
data_Sm2MgTl3
_chemical_formula_sum 'Sm16 Mg8 Tl24'
_cell_length_a 7.250
_cell_length_b 10.192
_cell_length_c 17.626
_cell_angle_alpha 90.00
_cell_angle_beta 90.00
_cell_angle_gamma 90.00
_symmetry_space_group_name_H-M 'F m m m'
_symmetry_Int_Tables_number 69
_symmetry_space_group_name_Hall '-F 2 2'
loop_
_atom_site_label
_atom_site_type_symbol
_atom_site_fract_x
_atom_site_fract_y
_atom_site_fract_z
Sm1 Sm 0.244 0.000 0.000
Sm2 Sm 0.250 0.250 0.250
Mg1 Mg 0.000 0.000 0.333
Tl1 Tl 0.000 0.000 0.171
Tl2 Tl 0.000 0.243 0.414
```

---

DFT (PBE) results for a relaxed structure of CuAg2BO4.

VASP energy = -5.3562 eV/atom
formation energy from raw total energies = -0.818 eV/atom
calculated volume = 93.3 Å³/f.u.
total magnetic moment = 3.88 μB per cell

The structure in CIF format:
```
data_CuAg2BO4
_chemical_formula_sum 'Cu2 Ag4 B2 O8'
_cell_length_a 4.814
_cell_length_b 4.814
_cell_length_c 8.052
_cell_angle_alpha 90.00
_cell_angle_beta 90.00
_cell_angle_gamma 90.00
_symmetry_space_group_name_H-M 'I -4'
_symmetry_Int_Tables_number 82
_symmetry_space_group_name_Hall 'I -4'
loop_
_atom_site_label
_atom_site_type_symbol
_atom_site_fract_x
_atom_site_fract_y
_atom_site_fract_z
Cu1 Cu 0.000 0.000 0.000
Ag1 Ag 0.000 0.000 0.500
Ag2 Ag 0.000 0.500 0.750
B1 B 0.000 0.500 0.250
O1 O 0.146 0.706 0.144
```

---

DFT (PBE) results for a relaxed structure of Hf2Fe4Mo.

VASP energy = -8.4122 eV/atom
ΔH_f (0 K) = 0.81 eV/atom
calculated volume = 126.7 Å³/f.u.
total magnetic moment = 9.66 μB per cell

The structure in CIF format:
```
data_Hf2Fe4Mo
_chemical_formula_sum 'Hf4 Fe8 Mo2'
_cell_length_a 4.360
_cell_length_b 4.360
_cell_length_c 13.326
_cell_angle_alpha 90.00
_cell_angle_beta 90.00
_cell_angle_gamma 90.00
_symmetry_space_group_name_H-M 'I 4/m m m'
_symmetry_Int_Tables_number 139
_symmetry_space_group_name_Hall '-I 4 2'
loop_
_atom_site_label
_atom_site_type_symbol
_atom_site_fract_x
_atom_site_fract_y
_atom_site_fract_z
Hf1 Hf 0.000 0.000 0.119
Fe1 Fe 0.000 0.000 0.315
Fe2 Fe 0.000 0.500 0.000
Mo1 Mo 0.000 0.000 0.500
```

---

DFT (PBE) results for a relaxed structure of Ce2AlTc.

VASP energy = -6.6561 eV/atom
ΔH_f (0 K) = -0.16 eV/atom
calculated volume = 92.1 Å³/f.u.
total magnetic moment = 0.00 μB per cell

The structure in CIF format:
```
data_Ce2AlTc
_chemical_formula_sum 'Ce8 Al4 Tc4'
_cell_length_a 5.582
_cell_length_b 5.988
_cell_length_c 12.175
_cell_angle_alpha 90.00
_cell_angle_beta 115.19
_cell_angle_gamma 90.00
_symmetry_space_group_name_H-M 'P 1 21/c 1'
_symmetry_Int_Tables_number 14
_symmetry_space_group_name_Hall '-P 2ybc'
loop_
_atom_site_label
_atom_site_type_symbol
_atom_site_fract_x
_atom_site_fract_y
_atom_site_fract_z
Ce1 Ce 0.027 0.238 0.098
Ce2 Ce 0.359 0.165 0.400
Al1 Al 0.251 0.737 0.709
Tc1 Tc 0.434 0.052 0.102
```

---

DFT (PBE) results for a relaxed structure of KNi6Se8.

VASP energy = -4.6012 eV/atom
formation energy from raw total energies = -0.357 eV/atom
calculated volume = 302.7 Å³/f.u.
total magnetic moment = 0.00 μB per cell

The structure in CIF format:
```
data_KNi6Se8
_chemical_formula_sum 'K3 Ni18 Se24'
_cell_length_a 9.4513
_cell_length_b 9.4513
_cell_length_c 11.7404
_cell_angle_alpha 90.00
_cell_angle_beta 90.00
_cell_angle_gamma 120.00
_symmetry_space_group_name_H-M 'R -3'
_symmetry_Int_Tables_number 148
_symmetry_space_group_name_Hall '-R 3'
loop_
_atom_site_label
_atom_site_type_symbol
_atom_site_fract_x
_atom_site_fract_y
_atom_site_fract_z
K1 K 0.0000 0.0000 0.0000
Ni1 Ni 0.0206 0.1983 0.3899
Se1 Se 0.0000 0.0000 0.2630
Se2 Se 0.0331 0.2987 0.5790
```

---

DFT (PBE) results for a relaxed structure of NaSm2F.

VASP energy = -4.0226 eV/atom
formation energy from raw total energies = -0.865 eV/atom
calculated volume = 110.7 Å³/f.u.
total magnetic moment = 0.00 μB per cell

The structure in CIF format:
```
data_NaSm2F
_chemical_formula_sum 'Na3 Sm6 F3'
_cell_length_a 3.4855
_cell_length_b 3.4855
_cell_length_c 31.5764
_cell_angle_alpha 90.00
_cell_angle_beta 90.00
_cell_angle_gamma 120.00
_symmetry_space_group_name_H-M 'R -3 m'
_symmetry_Int_Tables_number 166
_symmetry_space_group_name_Hall '-R 3 2"'
loop_
_atom_site_label
_atom_site_type_symbol
_atom_site_fract_x
_atom_site_fract_y
_atom_site_fract_z
Na1 Na 0.0000 0.0000 0.0000
Sm1 Sm 0.0000 0.0000 0.1113
F1 F 0.0000 0.0000 0.5000
```

---

DFT (PBE) results for a relaxed structure of Rb5Hg12Au2.

VASP energy = -0.9629 eV/atom
ΔH_f (0 K) = -0.17 eV/atom
calculated volume = 655.3 Å³/f.u.
total magnetic moment = 0.00 μB per cell

The structure in CIF format:
```
data_Rb5Hg12Au2
_chemical_formula_sum 'Rb10 Hg24 Au4'
_cell_length_a 20.799
_cell_length_b 7.814
_cell_length_c 8.361
_cell_angle_alpha 90.00
_cell_angle_beta 105.33
_cell_angle_gamma 90.00
_symmetry_space_group_name_H-M 'C 1 2/m 1'
_symmetry_Int_Tables_number 12
_symmetry_space_group_name_Hall '-C 2y'
loop_
_atom_site_label
_atom_site_type_symbol
_atom_site_fract_x
_atom_site_fract_y
_atom_site_fract_z
Rb1 Rb 0.000 0.000 0.000
Rb2 Rb 0.178 0.500 0.554
Rb3 Rb 0.238 0.000 0.899
Hg1 Hg 0.040 0.500 0.198
Hg2 Hg 0.083 0.000 0.510
Hg3 Hg 0.100 0.290 0.830
Hg4 Hg 0.153 0.199 0.224
Au1 Au 0.000 0.317 0.500
```

---

DFT (PBE) results for a relaxed structure of RbZrS2O8.

VASP energy = -6.6224 eV/atom
formation energy from raw total energies = -1.836 eV/atom
calculated volume = 201.7 Å³/f.u.
total magnetic moment = 1.00 μB per cell

The structure in CIF format:
```
data_RbZrS2O8
_chemical_formula_sum 'Rb1 Zr1 S2 O8'
_cell_length_a 5.2028
_cell_length_b 5.2028
_cell_length_c 8.6051
_cell_angle_alpha 90.00
_cell_angle_beta 90.00
_cell_angle_gamma 120.00
_symmetry_space_group_name_H-M 'P -3'
_symmetry_Int_Tables_number 147
_symmetry_space_group_name_Hall '-P 3'
loop_
_atom_site_label
_atom_site_type_symbol
_atom_site_fract_x
_atom_site_fract_y
_atom_site_fract_z
Rb1 Rb 0.0000 0.0000 0.0000
Zr1 Zr 0.0000 0.0000 0.5000
S1 S 0.3333 0.6667 0.7181
O1 O 0.1022 0.3693 0.6574
O2 O 0.3333 0.6667 0.8876
```

---

DFT (PBE) results for a relaxed structure of UGeSb2.

VASP energy = -5.5715 eV/atom
formation energy from raw total energies = 0.466 eV/atom
calculated volume = 100.8 Å³/f.u.
total magnetic moment = 7.99 μB per cell

The structure in CIF format:
```
data_UGeSb2
_chemical_formula_sum 'U3 Ge3 Sb6'
_cell_length_a 3.1484
_cell_length_b 3.1484
_cell_length_c 35.2349
_cell_angle_alpha 90.00
_cell_angle_beta 90.00
_cell_angle_gamma 120.00
_symmetry_space_group_name_H-M 'R -3 m'
_symmetry_Int_Tables_number 166
_symmetry_space_group_name_Hall '-R 3 2"'
loop_
_atom_site_label
_atom_site_type_symbol
_atom_site_fract_x
_atom_site_fract_y
_atom_site_fract_z
U1 U 0.0000 0.0000 0.0000
Ge1 Ge 0.0000 0.0000 0.5000
Sb1 Sb 0.0000 0.0000 0.0905
```

---

DFT (PBE) results for a relaxed structure of YCrAs2.

VASP energy = -7.1282 eV/atom
ΔH_f (0 K) = -0.78 eV/atom
calculated volume = 80.8 Å³/f.u.
total magnetic moment = 8.42 μB per cell

The structure in CIF format:
```
data_YCrAs2
_chemical_formula_sum 'Y3 Cr3 As6'
_cell_length_a 3.9347
_cell_length_b 3.9347
_cell_length_c 18.0754
_cell_angle_alpha 90.00
_cell_angle_beta 90.00
_cell_angle_gamma 120.00
_symmetry_space_group_name_H-M 'R -3 m'
_symmetry_Int_Tables_number 166
_symmetry_space_group_name_Hall '-R 3 2"'
loop_
_atom_site_label
_atom_site_type_symbol
_atom_site_fract_x
_atom_site_fract_y
_atom_site_fract_z
Y1 Y 0.0000 0.0000 0.0000
Cr1 Cr 0.0000 0.0000 0.5000
As1 As 0.0000 0.0000 0.2356
```

---

DFT (PBE) results for a relaxed structure of LaTh3C2.

VASP energy = -7.7796 eV/atom
ΔH_f (0 K) = -0.17 eV/atom
calculated volume = 152.9 Å³/f.u.
total magnetic moment = 1.02 μB per cell

The structure in CIF format:
```
data_LaTh3C2
_chemical_formula_sum 'La4 Th12 C8'
_cell_length_a 16.817
_cell_length_b 3.692
_cell_length_c 12.735
_cell_angle_alpha 90.00
_cell_angle_beta 129.31
_cell_angle_gamma 90.00
_symmetry_space_group_name_H-M 'C 1 2/m 1'
_symmetry_Int_Tables_number 12
_symmetry_space_group_name_Hall '-C 2y'
loop_
_atom_site_label
_atom_site_type_symbol
_atom_site_fract_x
_atom_site_fract_y
_atom_site_fract_z
La1 La 0.138 0.000 0.199
Th1 Th 0.137 0.500 0.447
Th2 Th 0.139 0.000 0.698
Th3 Th 0.140 0.500 0.950
C1 C 0.242 0.000 0.613
C2 C 0.248 0.500 0.876
```

---

DFT (PBE) results for a relaxed structure of CaRh6.

VASP energy = -6.1184 eV/atom
ΔH_f (0 K) = 0.47 eV/atom
calculated volume = 155.6 Å³/f.u.
total magnetic moment = 0.00 μB per cell

The structure in CIF format:
```
data_CaRh6
_chemical_formula_sum 'Ca2 Rh12'
_cell_length_a 6.776
_cell_length_b 6.776
_cell_length_c 6.776
_cell_angle_alpha 90.00
_cell_angle_beta 90.00
_cell_angle_gamma 90.00
_symmetry_space_group_name_H-M 'I m -3 m'
_symmetry_Int_Tables_number 229
_symmetry_space_group_name_Hall '-I 4 2 3'
loop_
_atom_site_label
_atom_site_type_symbol
_atom_site_fract_x
_atom_site_fract_y
_atom_site_fract_z
Ca1 Ca 0.000 0.000 0.000
Rh1 Rh 0.000 0.250 0.500
```

---

DFT (PBE) results for a relaxed structure of Li3NdAs2.

VASP energy = -4.2960 eV/atom
ΔH_f (0 K) = -0.99 eV/atom
calculated volume = 112.0 Å³/f.u.
total magnetic moment = 0.00 μB per cell

The structure in CIF format:
```
data_Li3NdAs2
_chemical_formula_sum 'Li3 Nd1 As2'
_cell_length_a 4.3128
_cell_length_b 4.3128
_cell_length_c 6.9530
_cell_angle_alpha 90.00
_cell_angle_beta 90.00
_cell_angle_gamma 120.00
_symmetry_space_group_name_H-M 'P -3 m 1'
_symmetry_Int_Tables_number 164
_symmetry_space_group_name_Hall '-P 3 2"'
loop_
_atom_site_label
_atom_site_type_symbol
_atom_site_fract_x
_atom_site_fract_y
_atom_site_fract_z
Li1 Li 0.0000 0.0000 0.0000
Li2 Li 0.3333 0.6667 0.1445
Nd1 Nd 0.0000 0.0000 0.5000
As1 As 0.3333 0.6667 0.7576
```

---

DFT (PBE) results for a relaxed structure of RbSrAs2Br.

VASP energy = -2.4845 eV/atom
formation energy from raw total energies = 0.240 eV/atom
calculated volume = 191.0 Å³/f.u.
total magnetic moment = 0.88 μB per cell

The structure in CIF format:
```
data_RbSrAs2Br
_chemical_formula_sum 'Rb1 Sr1 As2 Br1'
_cell_length_a 5.622
_cell_length_b 5.622
_cell_length_c 6.044
_cell_angle_alpha 90.00
_cell_angle_beta 90.00
_cell_angle_gamma 90.00
_symmetry_space_group_name_H-M 'P 4/m m m'
_symmetry_Int_Tables_number 123
_symmetry_space_group_name_Hall '-P 4 2'
loop_
_atom_site_label
_atom_site_type_symbol
_atom_site_fract_x
_atom_site_fract_y
_atom_site_fract_z
Rb1 Rb 0.000 0.000 0.000
Sr1 Sr 0.500 0.500 0.500
As1 As 0.000 0.500 0.000
Br1 Br 0.000 0.000 0.500
```

---

DFT (PBE) results for a relaxed structure of Sr3LiCa4.

VASP energy = -1.8526 eV/atom
ΔH_f (0 K) = 0.02 eV/atom
calculated volume = 351.4 Å³/f.u.
total magnetic moment = 0.00 μB per cell

The structure in CIF format:
```
data_Sr3LiCa4
_chemical_formula_sum 'Sr3 Li1 Ca4'
_cell_length_a 4.090
_cell_length_b 4.090
_cell_length_c 21.005
_cell_angle_alpha 90.00
_cell_angle_beta 90.00
_cell_angle_gamma 90.00
_symmetry_space_group_name_H-M 'P 4/m m m'
_symmetry_Int_Tables_number 123
_symmetry_space_group_name_Hall '-P 4 2'
loop_
_atom_site_label
_atom_site_type_symbol
_atom_site_fract_x
_atom_site_fract_y
_atom_site_fract_z
Sr1 Sr 0.000 0.000 0.000
Sr2 Sr 0.000 0.000 0.273
Li1 Li 0.000 0.000 0.500
Ca1 Ca 0.500 0.500 0.136
Ca2 Ca 0.500 0.500 0.410
```

---

DFT (PBE) results for a relaxed structure of MgZr2Cd.

VASP energy = -4.8608 eV/atom
ΔH_f (0 K) = 0.04 eV/atom
calculated volume = 87.3 Å³/f.u.
total magnetic moment = 0.00 μB per cell

The structure in CIF format:
```
data_MgZr2Cd
_chemical_formula_sum 'Mg2 Zr4 Cd2'
_cell_length_a 4.362
_cell_length_b 4.362
_cell_length_c 9.179
_cell_angle_alpha 90.00
_cell_angle_beta 90.00
_cell_angle_gamma 90.00
_symmetry_space_group_name_H-M 'I -4 m 2'
_symmetry_Int_Tables_number 119
_symmetry_space_group_name_Hall 'I -4 -2'
loop_
_atom_site_label
_atom_site_type_symbol
_atom_site_fract_x
_atom_site_fract_y
_atom_site_fract_z
Mg1 Mg 0.000 0.000 0.000
Zr1 Zr 0.000 0.000 0.500
Zr2 Zr 0.000 0.500 0.750
Cd1 Cd 0.000 0.500 0.250
```

---

DFT (PBE) results for a relaxed structure of BeCuHRh2.

VASP energy = -5.2556 eV/atom
calculated volume = 51.2 Å³/f.u.
total magnetic moment = 0.00 μB per cell

The structure in CIF format:
```
data_BeCuHRh2
_chemical_formula_sum 'Be1 Cu1 H1 Rh2'
_cell_length_a 4.004
_cell_length_b 4.004
_cell_length_c 3.191
_cell_angle_alpha 90.00
_cell_angle_beta 90.00
_cell_angle_gamma 90.00
_symmetry_space_group_name_H-M 'P 4/m m m'
_symmetry_Int_Tables_number 123
_symmetry_space_group_name_Hall '-P 4 2'
loop_
_atom_site_label
_atom_site_type_symbol
_atom_site_fract_x
_atom_site_fract_y
_atom_site_fract_z
Be1 Be 0.000 0.000 0.000
Cu1 Cu 0.500 0.500 0.000
H1 H 0.000 0.000 0.500
Rh1 Rh 0.000 0.500 0.500
```